# 1
Entry from Alexandria: LaPmGaSi after structural relaxation (GGA-PBE).

Cell and atoms, written as CIF:
```
data_LaPmGaSi
_symmetry_space_group_name_H-M 'A m m 2'
_symmetry_Int_Tables_number 38
_cell_length_a 4.0736
_cell_length_b 4.4748
_cell_length_c 11.3307
_cell_angle_alpha 90.00
_cell_angle_beta 90.00
_cell_angle_gamma 90.00
loop_
_symmetry_equiv_pos_as_xyz
'x,y,z'
'-x,-y,z'
'-x,y,z'
'x,-y,z'
'x,y+1/2,z+1/2'
'-x,-y+1/2,z+1/2'
'-x,y+1/2,z+1/2'
'x,-y+1/2,z+1/2'
loop_
_atom_site_label
_atom_site_type_symbol
_atom_site_fract_x
_atom_site_fract_y
_atom_site_fract_z
_atom_site_occupancy
La1 La 0.0000 0.0000 0.0000 1
Pm1 Pm 0.5000 0.0000 0.2828 1
Ga1 Ga 0.5000 0.0000 0.5766 1
Si1 Si 0.0000 0.0000 0.7158 1
```

Summary:
Relative energy among the computed polymorphs (eV/atom): 0.000
Energy relative to the elements, uncorrected (meV per atom): -697

# 2
Entry from Alexandria: Mg3CuSn after structural relaxation (GGA-PBE).

Cell and atoms, written as CIF:
```
data_Mg3CuSn
_symmetry_space_group_name_H-M 'P m -3 m'
_symmetry_Int_Tables_number 221
_symmetry_space_group_name_Hall '-P 4 2 3'
_cell_length_a 4.9012
_cell_length_b 4.9012
_cell_length_c 4.9012
_cell_angle_alpha 90.00
_cell_angle_beta 90.00
_cell_angle_gamma 90.00
loop_
_atom_site_label
_atom_site_type_symbol
_atom_site_fract_x
_atom_site_fract_y
_atom_site_fract_z
_atom_site_occupancy
Mg1 Mg 0.0000 0.0000 0.5000 1
Cu1 Cu 0.0000 0.0000 0.0000 1
Sn1 Sn 0.5000 0.5000 0.5000 1
```

Summary:
Relative energy among the computed polymorphs (eV/atom): 0.177

# 3
Entry from Alexandria: Ag2BiSbTe4 after structural relaxation (GGA-PBE).

Cell and atoms, written as CIF:
```
data_Ag2BiSbTe4
_symmetry_space_group_name_H-M 'I -4 m 2'
_symmetry_Int_Tables_number 119
_symmetry_space_group_name_Hall 'I -4 -2'
_cell_length_a 6.1645
_cell_length_b 6.1645
_cell_length_c 12.4052
_cell_angle_alpha 90.00
_cell_angle_beta 90.00
_cell_angle_gamma 90.00
loop_
_atom_site_label
_atom_site_type_symbol
_atom_site_fract_x
_atom_site_fract_y
_atom_site_fract_z
_atom_site_occupancy
Ag1 Ag 0.0000 0.0000 0.0000 1
Ag2 Ag 0.0000 0.5000 0.2500 1
Bi1 Bi 0.0000 0.0000 0.5000 1
Sb1 Sb 0.0000 0.5000 0.7500 1
Te1 Te 0.0000 0.0000 0.2444 1
Te2 Te 0.0000 0.5000 0.0002 1
```

Summary:
Relative energy among the computed polymorphs (eV/atom): 0.041
Energy relative to the elements, uncorrected (meV per atom): -75

# 4
Entry from Alexandria: La2Tm3PuSe6 after structural relaxation (GGA-PBE).

Cell and atoms, written as CIF:
```
data_La2Tm3PuSe6
_symmetry_space_group_name_H-M 'C 1 2/m 1'
_symmetry_Int_Tables_number 12
_cell_length_a 18.1647
_cell_length_b 4.0843
_cell_length_c 8.3843
_cell_angle_alpha 90.00
_cell_angle_beta 104.97
_cell_angle_gamma 90.00
loop_
_symmetry_equiv_pos_as_xyz
'x,y,z'
'-x,-y,-z'
'-x,y,-z'
'x,-y,z'
'x+1/2,y+1/2,z'
'-x+1/2,-y+1/2,-z'
'-x+1/2,y+1/2,-z'
'x+1/2,-y+1/2,z'
loop_
_atom_site_label
_atom_site_type_symbol
_atom_site_fract_x
_atom_site_fract_y
_atom_site_fract_z
_atom_site_occupancy
La1 La 0.1655 0.0000 0.3319 1
Tm1 Tm 0.0000 0.5000 0.5000 1
Tm2 Tm 0.1675 0.0000 0.8354 1
Pu1 Pu 0.0000 0.5000 0.0000 1
Se1 Se 0.0060 0.0000 0.7448 1
Se2 Se 0.1615 0.5000 0.5974 1
Se3 Se 0.1691 0.5000 0.0688 1
```

Summary:
Energy relative to the elements, uncorrected (meV per atom): -1773

| no. | total moment (μB/atom) | calculated volume (Å³/f.u.) |
| --- | --- | --- |
| 1 | 0.06 | 103.3 |
| 2 | 0.00 | 117.7 |
| 3 | 0.00 | 235.7 |
| 4 | 0.50 | 300.5 |